A relaxed structure of Zn2NiO3. Source: the Alexandria database, functional PBE+U.

Cell and atoms, written as POSCAR:
```
Zn2NiO3
1.0
-2.0504 -0.5622 -5.1939
-1.8357 -3.3549 4.1074
-2.4811 4.9582 1.5459
Zn O Ni
4 6 2
direct
0.5933 0.4388 0.0092 Zn
0.7633 0.2532 0.5007 Zn
0.4388 0.5933 0.5092 Zn
0.2532 0.7633 0.0007 Zn
0.5537 0.7298 0.8806 O
0.8723 0.3829 0.8698 O
0.0602 0.2073 0.3898 O
0.7298 0.5537 0.3806 O
0.2073 0.0602 0.8898 O
0.3829 0.8723 0.3698 O
0.9277 0.1126 0.0211 Ni
0.1126 0.9277 0.5211 Ni
```

* calculated volume: 12.3 Å³ per atom
* space group: Cc (9)
* excess energy over the best structure of this formula in the dataset: 0.000 eV/atom